1.
## Be2AgAu (GGA-PBE)

Data for a relaxed structure of Be2AgAu. Values from VASP.

## Properties
- Spin magnetization: 0.000 Bohr magnetons per cell
- Density of states at the Fermi level: 1.26 states/eV per cell
- Formation enthalpy at 0 K: 0.291 eV/atom
- Space group: F-43m (216)

Quantum ESPRESSO input file:
```
&SYSTEM
  ibrav = 0, nat = 4, ntyp = 3
/
ATOMIC_SPECIES
Be 9.01 Be.upf
Ag 107.87 Ag.upf
Au 196.97 Au.upf
ATOMIC_POSITIONS crystal
Be 0.0000 0.0000 0.0000
Be 0.2500 0.2500 0.2500
Ag 0.7500 0.7500 0.7500
Au 0.5000 0.5000 0.5000
CELL_PARAMETERS angstrom
0.0000 3.0364 3.0364
3.0364 0.0000 3.0364
3.0364 3.0364 0.0000
```

2.
## Be2AgAu (GGA-PBE)

Data for a relaxed structure of Be2AgAu. Values from VASP.

## Properties
- Spin magnetization: 0.000 Bohr magnetons per cell
- Density of states at the Fermi level: 0.69 states/eV per cell
- Formation enthalpy at 0 K: 0.225 eV/atom
- Space group: R3m (160)

Quantum ESPRESSO input file:
```
&SYSTEM
  ibrav = 0, nat = 4, ntyp = 3
/
ATOMIC_SPECIES
Be 9.01 Be.upf
Ag 107.87 Ag.upf
Au 196.97 Au.upf
ATOMIC_POSITIONS crystal
Be 0.0000 0.0000 0.0000
Be 0.1729 0.1729 0.1729
Ag 0.7533 0.7533 0.7533
Au 0.5859 0.5859 0.5859
CELL_PARAMETERS angstrom
1.6632 0.9603 5.9887
-1.6632 0.9603 5.9887
0.0000 -1.9205 5.9887
```

3.
## BeAgAu (GGA-PBE)

Data for a relaxed structure of BeAgAu. Values from VASP.

## Properties
- Spin magnetization: 0.000 Bohr magnetons per cell
- Density of states at the Fermi level: 1.15 states/eV per cell
- Formation enthalpy at 0 K: 0.398 eV/atom
- Space group: F-43m (216)

Quantum ESPRESSO input file:
```
&SYSTEM
  ibrav = 0, nat = 3, ntyp = 3
/
ATOMIC_SPECIES
Be 9.01 Be.upf
Ag 107.87 Ag.upf
Au 196.97 Au.upf
ATOMIC_POSITIONS crystal
Be 0.0000 0.0000 0.0000
Ag 0.5000 0.5000 0.5000
Au 0.7500 0.7500 0.7500
CELL_PARAMETERS angstrom
0.0000 3.0369 3.0369
3.0369 0.0000 3.0369
3.0369 3.0369 0.0000
```

4.
## BeAgAu3 (GGA-PBE)

Data for a relaxed structure of BeAgAu3. Values from VASP.

## Properties
- Spin magnetization: 0.000 Bohr magnetons per cell
- Density of states at the Fermi level: 2.48 states/eV per cell
- Formation enthalpy at 0 K: 1.222 eV/atom
- Space group: Pm-3m (221)

Quantum ESPRESSO input file:
```
&SYSTEM
  ibrav = 0, nat = 5, ntyp = 3
/
ATOMIC_SPECIES
Be 9.01 Be.upf
Ag 107.87 Ag.upf
Au 196.97 Au.upf
ATOMIC_POSITIONS crystal
Be 0.0000 0.0000 0.0000
Ag 0.5000 0.5000 0.5000
Au 0.0000 0.5000 0.5000
Au 0.5000 0.0000 0.5000
Au 0.5000 0.5000 0.0000
CELL_PARAMETERS angstrom
5.0801 0.0000 0.0000
0.0000 5.0801 0.0000
0.0000 0.0000 5.0801
```

5.
## BeAgAu3 (GGA-PBE)

Data for a relaxed structure of BeAgAu3. Values from VASP.

## Properties
- Spin magnetization: 0.000 Bohr magnetons per cell
- Density of states at the Fermi level: 2.98 states/eV per cell
- Formation enthalpy at 0 K: -0.087 eV/atom
- Space group: P-1 (2)

Quantum ESPRESSO input file:
```
&SYSTEM
  ibrav = 0, nat = 10, ntyp = 3
/
ATOMIC_SPECIES
Be 9.01 Be.upf
Ag 107.87 Ag.upf
Au 196.97 Au.upf
ATOMIC_POSITIONS crystal
Be 0.1002 0.0633 0.2020
Be 0.8998 0.9367 0.7980
Ag 0.0950 0.5436 0.1931
Ag 0.9050 0.4564 0.8069
Au 0.2999 0.6824 0.5981
Au 0.3265 0.1150 0.6447
Au 0.4896 0.7978 0.9865
Au 0.5104 0.2022 0.0135
Au 0.6735 0.8850 0.3553
Au 0.7001 0.3176 0.4019
CELL_PARAMETERS angstrom
2.9247 0.0000 0.0000
-0.0531 7.2229 0.0000
-1.4244 -1.9682 7.6416
```

6.
## BeAg2Au4 (GGA-PBE)

Data for a relaxed structure of BeAg2Au4. Values from VASP.

## Properties
- Spin magnetization: 0.000 Bohr magnetons per cell
- Density of states at the Fermi level: 1.63 states/eV per cell
- Formation enthalpy at 0 K: -0.016 eV/atom
- Space group: C2/m (12)

Quantum ESPRESSO input file:
```
&SYSTEM
  ibrav = 0, nat = 7, ntyp = 3
/
ATOMIC_SPECIES
Be 9.01 Be.upf
Ag 107.87 Ag.upf
Au 196.97 Au.upf
ATOMIC_POSITIONS crystal
Be 0.0000 0.0000 0.0000
Ag 0.2358 0.2358 0.2608
Ag 0.7642 0.7642 0.7392
Au 0.1041 0.1041 0.7811
Au 0.4194 0.4194 0.6689
Au 0.5806 0.5806 0.3311
Au 0.8959 0.8959 0.2189
CELL_PARAMETERS angstrom
7.5330 -1.4300 0.0000
7.5330 1.4300 0.0000
-2.2255 0.0000 5.6388
```

7.
## Be3Ag2Au2 (GGA-PBE)

Data for a relaxed structure of Be3Ag2Au2. Values from VASP.

## Properties
- Spin magnetization: 0.000 Bohr magnetons per cell
- Density of states at the Fermi level: 1.79 states/eV per cell
- Formation enthalpy at 0 K: 0.010 eV/atom
- Space group: P-1 (2)

Quantum ESPRESSO input file:
```
&SYSTEM
  ibrav = 0, nat = 7, ntyp = 3
/
ATOMIC_SPECIES
Be 9.01 Be.upf
Ag 107.87 Ag.upf
Au 196.97 Au.upf
ATOMIC_POSITIONS crystal
Be 0.0000 0.0000 0.0000
Be 0.2605 0.4757 0.7868
Be 0.7395 0.5243 0.2132
Ag 0.1307 0.7403 0.3889
Ag 0.8693 0.2597 0.6111
Au 0.3878 0.2294 0.1512
Au 0.6122 0.7706 0.8488
CELL_PARAMETERS angstrom
4.1280 0.0000 0.0000
2.0633 3.6120 0.0000
0.0387 2.3173 6.7150
```

8.
## Be2AgAu (GGA-PBE)

Data for a relaxed structure of Be2AgAu. Values from VASP.

## Properties
- Spin magnetization: 0.000 Bohr magnetons per cell
- Density of states at the Fermi level: 0.54 states/eV per cell
- Formation enthalpy at 0 K: 0.011 eV/atom
- Space group: P2/m (10)

Quantum ESPRESSO input file:
```
&SYSTEM
  ibrav = 0, nat = 4, ntyp = 3
/
ATOMIC_SPECIES
Be 9.01 Be.upf
Ag 107.87 Ag.upf
Au 196.97 Au.upf
ATOMIC_POSITIONS crystal
Be 0.0004 0.0000 0.2384
Be 0.9996 0.0000 0.7616
Ag 0.5000 0.5000 0.5000
Au 0.5000 0.5000 0.0000
CELL_PARAMETERS angstrom
2.9774 0.0000 0.0000
0.0000 2.9908 0.0000
-0.0364 0.0000 5.8402
```

9.
## BeAg2Au5 (GGA-PBE)

Data for a relaxed structure of BeAg2Au5. Values from VASP.

## Properties
- Spin magnetization: 0.000 Bohr magnetons per cell
- Density of states at the Fermi level: 3.53 states/eV per cell
- Formation enthalpy at 0 K: -0.014 eV/atom
- Space group: Pbam (55)

Quantum ESPRESSO input file:
```
&SYSTEM
  ibrav = 0, nat = 16, ntyp = 3
/
ATOMIC_SPECIES
Be 9.01 Be.upf
Ag 107.87 Ag.upf
Au 196.97 Au.upf
ATOMIC_POSITIONS crystal
Be 0.0000 0.0000 0.0000
Be 0.5000 0.5000 0.0000
Ag 0.1694 0.3450 0.5000
Ag 0.3306 0.8450 0.5000
Ag 0.6694 0.1550 0.5000
Ag 0.8306 0.6550 0.5000
Au 0.0000 0.5000 0.0000
Au 0.0263 0.7886 0.0000
Au 0.1883 0.0841 0.5000
Au 0.3117 0.5841 0.5000
Au 0.4737 0.2886 0.0000
Au 0.5000 0.0000 0.0000
Au 0.5263 0.7114 0.0000
Au 0.6883 0.4159 0.5000
Au 0.8117 0.9159 0.5000
Au 0.9737 0.2114 0.0000
CELL_PARAMETERS angstrom
5.6386 0.0000 0.0000
0.0000 11.3735 0.0000
0.0000 0.0000 4.2913
```

10.
## Be2AgAu2 (GGA-PBE)

Data for a relaxed structure of Be2AgAu2. Values from VASP.

## Properties
- Spin magnetization: 0.000 Bohr magnetons per cell
- Density of states at the Fermi level: 2.28 states/eV per cell
- Formation enthalpy at 0 K: -0.121 eV/atom
- Space group: P4/mbm (127)

Quantum ESPRESSO input file:
```
&SYSTEM
  ibrav = 0, nat = 10, ntyp = 3
/
ATOMIC_SPECIES
Be 9.01 Be.upf
Ag 107.87 Ag.upf
Au 196.97 Au.upf
ATOMIC_POSITIONS crystal
Be 0.1322 0.3678 0.0000
Be 0.3678 0.8678 0.0000
Be 0.6322 0.1322 0.0000
Be 0.8678 0.6322 0.0000
Ag 0.0000 0.0000 0.0000
Ag 0.5000 0.5000 0.0000
Au 0.1577 0.6577 0.5000
Au 0.3423 0.1577 0.5000
Au 0.6577 0.8423 0.5000
Au 0.8423 0.3423 0.5000
CELL_PARAMETERS angstrom
6.9055 0.0000 0.0000
0.0000 6.9055 0.0000
0.0000 0.0000 2.9233
```

11.
## Be3AgAu3 (GGA-PBE)

Data for a relaxed structure of Be3AgAu3. Values from VASP.

## Properties
- Spin magnetization: 0.000 Bohr magnetons per cell
- Density of states at the Fermi level: 6.08 states/eV per cell
- Formation enthalpy at 0 K: 0.311 eV/atom
- Space group: Pm-3n (223)

Quantum ESPRESSO input file:
```
&SYSTEM
  ibrav = 0, nat = 14, ntyp = 3
/
ATOMIC_SPECIES
Be 9.01 Be.upf
Ag 107.87 Ag.upf
Au 196.97 Au.upf
ATOMIC_POSITIONS crystal
Be 0.0000 0.2500 0.5000
Be 0.0000 0.7500 0.5000
Be 0.2500 0.5000 0.0000
Be 0.5000 0.0000 0.2500
Be 0.5000 0.0000 0.7500
Be 0.7500 0.5000 0.0000
Ag 0.0000 0.0000 0.0000
Ag 0.5000 0.5000 0.5000
Au 0.0000 0.5000 0.2500
Au 0.0000 0.5000 0.7500
Au 0.2500 0.0000 0.5000
Au 0.5000 0.2500 0.0000
Au 0.5000 0.7500 0.0000
Au 0.7500 0.0000 0.5000
CELL_PARAMETERS angstrom
6.3337 0.0000 0.0000
0.0000 6.3337 0.0000
0.0000 0.0000 6.3337
```

12.
## BeAgAu3 (GGA-PBE)

Data for a relaxed structure of BeAgAu3. Values from VASP.

## Properties
- Spin magnetization: 0.000 Bohr magnetons per cell
- Density of states at the Fermi level: 1.50 states/eV per cell
- Formation enthalpy at 0 K: 0.141 eV/atom
- Space group: Pm-3m (221)

Quantum ESPRESSO input file:
```
&SYSTEM
  ibrav = 0, nat = 5, ntyp = 3
/
ATOMIC_SPECIES
Be 9.01 Be.upf
Ag 107.87 Ag.upf
Au 196.97 Au.upf
ATOMIC_POSITIONS crystal
Be 0.0000 0.0000 0.0000
Ag 0.5000 0.5000 0.5000
Au 0.0000 0.0000 0.5000
Au 0.0000 0.5000 0.0000
Au 0.5000 0.0000 0.0000
CELL_PARAMETERS angstrom
4.4574 0.0000 0.0000
0.0000 4.4574 0.0000
0.0000 0.0000 4.4574
```

> Which value of density of states at the Fermi level does entry 2 give?

0.69 states/eV per cell